ErTm2MoO8 | PBE+U | relaxed

Cell: 4.996 4.996 6.709 Å, 90.00 90.00 90.75°
Each line ends with the local moment (μB).
Element x y z (fractional)
Tm  0.500  0.500  0.750  -0.01
Tm  0.500  0.500  0.250  -0.01
Er  0.000  0.000  0.500  0.02
O  0.184  0.815  0.215  0.07
O  0.692  0.693  0.500  0.10
O  0.279  0.278  0.000  0.12
O  0.721  0.722  0.000  0.12
O  0.816  0.185  0.215  0.07
O  0.816  0.185  0.785  0.07
O  0.308  0.307  0.500  0.10
O  0.184  0.815  0.785  0.07
Mo  0.000  0.000  0.000  -0.07

Calculated values
E = -7.74 eV/atom
Size of the total moment = 0.7 Bohr magnetons per cell